Entry 1:
VASP calculation (PBEsol) on a relaxed ZrPRu crystal.

**Raw total energy**: -9.549 eV per atom
**Formation energy**: -1.20 eV per atom
**DOS(E_F)**: 1.93 states/eV/f.u.

a b c (Å): 6.3923 3.8499 7.2713
angles (deg): 90.00 90.00 90.00
Last column: nearest neighbours and their distance in Å.
Space group Pnma (No. 62)
Asymmetric unit:
Zr  0.0213  0.2500  0.1810 [4 per cell]  5 P 2.73-2.74, 6 Ru 2.88-2.98
P  0.2244  0.7500  0.3785 [4 per cell]  4 Ru 2.38-2.45
Ru  0.1504  0.2500  0.5606 [4 per cell]  4 P 2.38-2.45

Entry 2:
VASP calculation (PBEsol) on a relaxed ZrPRu crystal.

**Raw total energy**: -8.762 eV per atom
**Formation energy**: -0.41 eV per atom
**DOS(E_F)**: 2.33 states/eV/f.u.

a b c (Å): 3.1364 3.8614 7.7849
angles (deg): 90.00 90.00 90.00
Last column: nearest neighbours and their distance in Å.
Space group Imm2 (No. 44)
Asymmetric unit:
Zr  0.0000  0.0000  0.0000 [2 per cell]  5 P 2.61-2.80, 5 Ru 2.67-2.77
P  0.0000  0.0000  0.6648 [2 per cell]  1 Ru 2.51, 5 Zr 2.61-2.80
Ru  0.0000  0.0000  0.3425 [2 per cell]  1 P 2.51, 5 Zr 2.67-2.77